No. 1
The following is a DFT calculation (PBE) of a relaxed structure of DyAl2Zn10.

The structure belongs to space group Fmmm (No. 69); the cell edges are 5.386, 12.466 and 12.481 Å and the angles 90.00°, 90.00° and 90.00°. The asymmetric unit holds Dy at (0.000, 0.000, 0.000), Al at (0.250, 0.250, 0.000), Zn at (0.000, 0.106, 0.392), Zn at (0.000, 0.177, 0.177) and Zn at (0.250, 0.000, 0.250).


No. 2
The following is a DFT calculation (PBE) of a relaxed structure of Dy4AlZn3.

The structure belongs to space group Pmm2 (No. 25); the cell edges are 3.641, 4.498 and 11.482 Å and the angles 90.00°, 90.00° and 90.00°. The asymmetric unit holds Dy at (0.000, 0.000, 0.000), Dy at (0.000, 0.500, 0.300), Dy at (0.500, 0.000, 0.491), Dy at (0.500, 0.500, 0.806), Al at (0.000, 0.000, 0.715), Zn at (0.000, 0.500, 0.581), Zn at (0.500, 0.000, 0.218) and Zn at (0.500, 0.500, 0.081).


No. 3
The following is a DFT calculation (PBE) of a relaxed structure of Dy11Al9Zn4.

The structure belongs to space group Cmmm (No. 65); the cell edges are 14.114, 21.206 and 3.625 Å and the angles 90.00°, 90.00° and 90.00°. The asymmetric unit holds Dy at (0.000, 0.000, 0.000), Dy at (0.000, 0.162, 0.000), Dy at (0.000, 0.367, 0.000), Dy at (0.201, 0.500, 0.000), Dy at (0.233, 0.176, 0.000), Al at (0.000, 0.500, 0.500), Al at (0.103, 0.266, 0.500), Al at (0.145, 0.071, 0.500) and Zn at (0.153, 0.399, 0.500).


Looking at ΔH_f (0 K) for the records above, in order, we have -0.151, -0.315, -0.371 eV/atom.